(1)
Material: CsAcPb2
Method: DFT, GGA-PBE
State: optimized geometry

Output
- magnetic moment (Bohr magnetons per cell) = 0.0
- energy relative to the lowest polymorph listed for this composition (eV/f.u.) = 0.87

Lattice parameters (Å, degrees): 5.496 5.496 5.089 90.00 90.00 90.00
Element x y z (fractional)
Cs 0.000 0.000 0.000
Ac 0.500 0.500 0.000
Pb 0.000 0.500 0.500
Pb 0.500 0.000 0.500

---

(2)
Material: Ce6GeSb3Se2
Method: DFT, GGA-PBE
State: optimized geometry

Output
- magnetic moment (Bohr magnetons per cell) = 5.2
- energy relative to the elements, uncorrected (eV per atom) = -1.245

Lattice parameters (Å, degrees): 9.761 9.761 8.716 103.11 103.11 25.84
Element x y z (fractional)
Ce 0.003 0.003 0.239
Ce 0.330 0.330 0.426
Ce 0.338 0.338 0.910
Ce 0.662 0.662 0.090
Ce 0.670 0.670 0.574
Ce 0.997 0.997 0.761
Ge 0.500 0.500 0.000
Sb 0.168 0.168 0.832
Sb 0.500 0.500 0.500
Sb 0.832 0.832 0.168
Se 0.167 0.167 0.333
Se 0.833 0.833 0.667

---

(3)
Material: VPb2Cl6
Method: DFT, GGA-PBE
State: optimized geometry

Output
- magnetic moment (Bohr magnetons per cell) = 6.0
- energy relative to the elements, uncorrected (eV per atom) = -1.113
- energy relative to the lowest polymorph listed for this composition (eV/f.u.) = 0.17

Lattice parameters (Å, degrees): 6.496 6.496 12.553 90.00 90.00 90.00
Element x y z (fractional)
V 0.000 0.000 0.000
V 0.500 0.500 0.500
Pb 0.000 0.000 0.335
Pb 0.000 0.000 0.665
Pb 0.500 0.500 0.165
Pb 0.500 0.500 0.835
Cl 0.183 0.183 0.147
Cl 0.183 0.183 0.853
Cl 0.227 0.227 0.500
Cl 0.273 0.727 0.000
Cl 0.317 0.683 0.353
Cl 0.317 0.683 0.647
Cl 0.683 0.317 0.353
Cl 0.683 0.317 0.647
Cl 0.727 0.273 0.000
Cl 0.773 0.773 0.500
Cl 0.817 0.817 0.147
Cl 0.817 0.817 0.853

---

(4)
Material: Rb2TeH
Method: DFT, GGA-PBE
State: optimized geometry

Output
- magnetic moment (Bohr magnetons per cell) = 0.0
- energy relative to the lowest polymorph listed for this composition (eV/f.u.) = 0.12

Lattice parameters (Å, degrees): 5.528 5.265 9.734 90.00 90.02 90.00
Element x y z (fractional)
Rb 0.249 0.250 0.129
Rb 0.250 0.750 0.486
Rb 0.750 0.250 0.514
Rb 0.751 0.750 0.871
Te 0.251 0.250 0.753
Te 0.749 0.750 0.247
H 0.251 0.750 0.761
H 0.749 0.250 0.239

---

(5)
Material: TcAu3
Method: DFT, GGA-PBE
State: optimized geometry

Output
- magnetic moment (Bohr magnetons per cell) = 3.3
- total DFT energy (no corrections) (eV/atom) = -4.551

Lattice parameters (Å, degrees): 4.151 4.151 4.151 90.00 90.00 90.00
Element x y z (fractional)
Tc 0.000 0.000 0.000
Au 0.000 0.500 0.500
Au 0.500 0.000 0.500
Au 0.500 0.500 0.000

---

(6)
Material: MnNiIr2
Method: DFT, GGA-PBE
State: optimized geometry

Output
- magnetic moment (Bohr magnetons per cell) = 2.8
- total DFT energy (no corrections) (eV/atom) = -8.251

Lattice parameters (Å, degrees): 4.508 4.508 4.652 100.15 100.15 35.02
Element x y z (fractional)
Mn 0.000 0.000 0.000
Ni 0.500 0.500 0.500
Ir 0.251 0.251 0.748
Ir 0.749 0.749 0.252

---

(7)
Material: MnZnCr2C
Method: DFT, GGA-PBE
State: optimized geometry

Output
- magnetic moment (Bohr magnetons per cell) = 5.0
- total DFT energy (no corrections) (eV/atom) = -7.685

Lattice parameters (Å, degrees): 3.890 3.890 3.866 90.00 90.00 90.00
Element x y z (fractional)
Mn 0.000 0.000 0.000
Zn 0.500 0.500 0.000
Cr 0.000 0.500 0.500
Cr 0.500 0.000 0.500
C 0.000 0.000 0.500

---

(8)
Material: Y2NiPdN
Method: DFT, GGA-PBE
State: optimized geometry

Output
- magnetic moment (Bohr magnetons per cell) = 0.0
- energy relative to the elements, uncorrected (eV per atom) = -0.935

Lattice parameters (Å, degrees): 4.852 4.852 3.698 90.00 90.00 90.00
Element x y z (fractional)
Y 0.000 0.500 0.000
Y 0.500 0.000 0.000
Ni 0.000 0.000 0.500
Pd 0.500 0.500 0.500
N 0.000 0.000 0.000